[1]
# TeAuSe2 PBE optimized geometry
# E	-3.317	eV per atom
# E_form (uncorrected)	0.030	eV per atom
# energy relative to the lowest polymorph listed for this composition	0	meV per atom
data_TeAuSe2
_space_group_name_H-M_alt 'A m m 2'
_space_group_IT_number 38
_cell_length_a 4.063
_cell_length_b 5.633
_cell_length_c 8.274
_cell_angle_alpha 90.00
_cell_angle_beta 90.00
_cell_angle_gamma 90.00
loop_
_space_group_symop_operation_xyz
'x,y,z'
'-x,-y,z'
'-x,y,z'
'x,-y,z'
'x,y+1/2,z+1/2'
'-x,-y+1/2,z+1/2'
'-x,y+1/2,z+1/2'
'x,-y+1/2,z+1/2'
loop_
_atom_site_label
_atom_site_fract_x
_atom_site_fract_y
_atom_site_fract_z
Te1 0.000 0.000 0.000
Au1 0.500 0.000 0.238
Se1 0.000 0.000 0.455
Se2 0.500 0.000 0.740



[2]
# Ce4PrSn4 PBE optimized geometry
# E	-5.267	eV per atom
# ΔH_f (0 K)	-319	meV/atom
data_Ce4PrSn4
_space_group_name_H-M_alt 'P 42/n'
_space_group_IT_number 86
_cell_length_a 9.275
_cell_length_b 9.275
_cell_length_c 6.545
_cell_angle_alpha 90.00
_cell_angle_beta 90.00
_cell_angle_gamma 90.00
loop_
_space_group_symop_operation_xyz
'x,y,z'
'-x,-y,-z'
'-y,x+1/2,z+1/2'
'y,-x+1/2,-z+1/2'
'-x+1/2,-y+1/2,z'
'x+1/2,y+1/2,-z'
'y+1/2,-x,z+1/2'
'-y+1/2,x,-z+1/2'
loop_
_atom_site_label
_atom_site_fract_x
_atom_site_fract_y
_atom_site_fract_z
Ce1 0.025 0.636 0.092
Pr1 0.250 0.250 0.250
Sn1 0.043 0.644 0.588



[3]
# La2Ti2Tc PBE optimized geometry
# E	-7.087	eV per atom
# ΔH_f (0 K)	115	meV/atom
data_La2Ti2Tc
_space_group_name_H-M_alt 'P 4/m b m'
_space_group_IT_number 127
_space_group_name_Hall '-P 4 2ab'
_cell_length_a 6.545
_cell_length_b 6.545
_cell_length_c 5.518
_cell_angle_alpha 90.00
_cell_angle_beta 90.00
_cell_angle_gamma 90.00
loop_
_atom_site_label
_atom_site_fract_x
_atom_site_fract_y
_atom_site_fract_z
La1 0.172 0.328 0.000
Ti1 0.157 0.657 0.500
Tc1 0.000 0.000 0.500



[4]
# CaTbSm2 PBE optimized geometry
# E	-3.913	eV per atom
# energy relative to the lowest polymorph listed for this composition	59	meV per atom
# ΔH_f (0 K)	104	meV/atom
data_CaTbSm2
_space_group_name_H-M_alt 'C 1 2/m 1'
_space_group_IT_number 12
_cell_length_a 24.276
_cell_length_b 3.526
_cell_length_c 6.536
_cell_angle_alpha 90.00
_cell_angle_beta 94.25
_cell_angle_gamma 90.00
loop_
_space_group_symop_operation_xyz
'x,y,z'
'-x,-y,-z'
'-x,y,-z'
'x,-y,z'
'x+1/2,y+1/2,z'
'-x+1/2,-y+1/2,-z'
'-x+1/2,y+1/2,-z'
'x+1/2,-y+1/2,z'
loop_
_atom_site_label
_atom_site_fract_x
_atom_site_fract_y
_atom_site_fract_z
Ca1 0.001 0.000 0.249
Tb1 0.248 0.000 0.249
Sm1 0.127 0.500 0.031
Sm2 0.136 0.000 0.543



[5]
# ReAg2 PBE optimized geometry
# E	-5.488	eV per atom
# energy relative to the lowest polymorph listed for this composition	145	meV per atom
# ΔH_f (0 K)	563	meV/atom
data_ReAg2
_space_group_name_H-M_alt 'C 1 2/m 1'
_space_group_IT_number 12
_cell_length_a 10.905
_cell_length_b 2.769
_cell_length_c 6.892
_cell_angle_alpha 90.00
_cell_angle_beta 103.95
_cell_angle_gamma 90.00
loop_
_space_group_symop_operation_xyz
'x,y,z'
'-x,-y,-z'
'-x,y,-z'
'x,-y,z'
'x+1/2,y+1/2,z'
'-x+1/2,-y+1/2,-z'
'-x+1/2,y+1/2,-z'
'x+1/2,-y+1/2,z'
loop_
_atom_site_label
_atom_site_fract_x
_atom_site_fract_y
_atom_site_fract_z
Re1 0.209 0.000 0.126
Ag1 0.018 0.500 0.810
Ag2 0.141 0.000 0.530



[6]
# LiScTlCd PBE optimized geometry
# E	-3.149	eV per atom
# ΔH_f (0 K)	-267	meV/atom
data_LiScTlCd
_space_group_name_H-M_alt 'F -4 3 m'
_space_group_IT_number 216
_space_group_name_Hall 'F -4 2 3'
_cell_length_a 6.963
_cell_length_b 6.963
_cell_length_c 6.963
_cell_angle_alpha 90.00
_cell_angle_beta 90.00
_cell_angle_gamma 90.00
loop_
_atom_site_label
_atom_site_fract_x
_atom_site_fract_y
_atom_site_fract_z
Li1 0.000 0.000 0.000
Sc1 0.000 0.000 0.500
Tl1 0.250 0.250 0.750
Cd1 0.250 0.250 0.250



[7]
# CeCdSb PBE optimized geometry
# E	-4.122	eV per atom
# E_form (uncorrected)	-0.465	eV per atom
# energy relative to the lowest polymorph listed for this composition	0	meV per atom
data_CeCdSb
_space_group_name_H-M_alt 'P 3 m 1'
_space_group_IT_number 156
_cell_length_a 4.7649
_cell_length_b 4.7649
_cell_length_c 4.3070
_cell_angle_alpha 90.00
_cell_angle_beta 90.00
_cell_angle_gamma 120.00
loop_
_space_group_symop_operation_xyz
'x,y,z'
'-y,x-y,z'
'-x+y,-x,z'
'-y,-x,z'
'-x+y,y,z'
'x,x-y,z'
loop_
_atom_site_label
_atom_site_fract_x
_atom_site_fract_y
_atom_site_fract_z
Ce1 0.0000 0.0000 0.0000
Cd1 0.3333 0.6667 0.6410
Sb1 0.6667 0.3333 0.4276



[8]
# ThPaHg PBE optimized geometry
# E	-5.609	eV per atom
# energy relative to the lowest polymorph listed for this composition	74	meV per atom
# ΔH_f (0 K)	130	meV/atom
data_ThPaHg
_space_group_name_H-M_alt 'P m m a'
_space_group_IT_number 51
_cell_length_a 5.840
_cell_length_b 3.341
_cell_length_c 8.473
_cell_angle_alpha 90.00
_cell_angle_beta 90.00
_cell_angle_gamma 90.00
loop_
_space_group_symop_operation_xyz
'x,y,z'
'-x,-y,-z'
'-x+1/2,-y,z'
'x+1/2,y,-z'
'x+1/2,-y,-z'
'-x+1/2,y,z'
'-x,y,-z'
'x,-y,z'
loop_
_atom_site_label
_atom_site_fract_x
_atom_site_fract_y
_atom_site_fract_z
Th1 0.250 0.000 0.193
Pa1 0.250 0.500 0.854
Hg1 0.000 0.500 0.500



[9]
# Sm2In3Ag PBE optimized geometry
# E	-3.864	eV per atom
# energy relative to the lowest polymorph listed for this composition	0	meV per atom
# ΔH_f (0 K)	-447	meV/atom
data_Sm2In3Ag
_space_group_name_H-M_alt 'P m m 2'
_space_group_IT_number 25
_cell_length_a 3.675
_cell_length_b 4.923
_cell_length_c 8.528
_cell_angle_alpha 90.00
_cell_angle_beta 90.00
_cell_angle_gamma 90.00
loop_
_space_group_symop_operation_xyz
'x,y,z'
'-x,-y,z'
'-x,y,z'
'x,-y,z'
loop_
_atom_site_label
_atom_site_fract_x
_atom_site_fract_y
_atom_site_fract_z
Sm1 0.000 0.000 0.000
Sm2 0.000 0.500 0.496
In1 0.500 0.000 0.654
In2 0.500 0.500 0.173
In3 0.500 0.500 0.834
Ag1 0.500 0.000 0.327



[10]
# Th2Tl2Se5 PBE optimized geometry
# E	-5.417	eV per atom
# E_form (uncorrected)	-1.306	eV per atom
data_Th2Tl2Se5
_space_group_name_H-M_alt 'C m c e'
_space_group_IT_number 64
_space_group_name_Hall '-C 2ac 2'
_cell_length_a 16.265
_cell_length_b 8.169
_cell_length_c 8.178
_cell_angle_alpha 90.00
_cell_angle_beta 90.00
_cell_angle_gamma 90.00
loop_
_atom_site_label
_atom_site_fract_x
_atom_site_fract_y
_atom_site_fract_z
Th1 0.000 0.162 0.162
Tl1 0.201 0.000 0.500
Se1 0.000 0.000 0.500
Se2 0.115 0.145 0.855



[11]
# Cs2LiTe PBE optimized geometry
# E	-2.129	eV per atom
# E_form (uncorrected)	-0.439	eV per atom
# energy relative to the lowest polymorph listed for this composition	217	meV per atom
data_Cs2LiTe
_space_group_name_H-M_alt 'F m -3 m'
_space_group_IT_number 225
_space_group_name_Hall '-F 4 2 3'
_cell_length_a 9.149
_cell_length_b 9.149
_cell_length_c 9.149
_cell_angle_alpha 90.00
_cell_angle_beta 90.00
_cell_angle_gamma 90.00
loop_
_atom_site_label
_atom_site_fract_x
_atom_site_fract_y
_atom_site_fract_z
Cs1 0.250 0.250 0.250
Li1 0.000 0.000 0.000
Te1 0.000 0.000 0.500



[12]
# Cd2SeCl PBE optimized geometry
# E	-2.262	eV per atom
# E_form (uncorrected)	-0.471	eV per atom
# energy relative to the lowest polymorph listed for this composition	40	meV per atom
data_Cd2SeCl
_space_group_name_H-M_alt 'C 1 m 1'
_space_group_IT_number 8
_cell_length_a 7.682
_cell_length_b 4.163
_cell_length_c 8.195
_cell_angle_alpha 90.00
_cell_angle_beta 115.84
_cell_angle_gamma 90.00
loop_
_space_group_symop_operation_xyz
'x,y,z'
'x,-y,z'
'x+1/2,y+1/2,z'
'x+1/2,-y+1/2,z'
loop_
_atom_site_label
_atom_site_fract_x
_atom_site_fract_y
_atom_site_fract_z
Cd1 0.000 0.000 0.000
Cd2 0.083 0.500 0.572
Se1 0.250 0.000 0.850
Cl1 0.185 0.000 0.355



Per-record theoretical density, Mg/m³: 8.46; 6.94; 6.63; 5.95; 13.22; 7.25; 7.34; 13.33; 8.11; 7.75; 3.47; 4.78
Per-record total moment, μB per cell: 0.00; 8.23; 0.00; 0.00; 0.00; 0.00; 1.02; 0.00; 0.00; 0.00; 3.84; 0.00